Entry i
A plane-wave DFT calculation with PBE was carried out for a relaxed structure of Mg3TiB.

The structure in POSCAR format:
```
Mg3TiB
1.0
5.371 0.000 0.000
0.000 5.371 0.000
0.000 0.000 5.371
Mg Ti B
3 1 1
direct
0.000 0.000 0.500
0.000 0.500 0.000
0.500 0.000 0.000
0.000 0.000 0.000
0.500 0.500 0.500
```

ρ = 1.4 g/cm3

=====

Entry ii
A plane-wave DFT calculation with PBE was carried out for a relaxed structure of Mg3TiB.

The structure in POSCAR format:
```
Mg3TiB
1.0
4.529 0.000 0.000
0.000 4.529 0.000
0.000 0.000 4.529
Mg Ti B
3 1 1
direct
0.000 0.000 0.500
0.000 0.500 0.000
0.500 0.000 0.000
0.500 0.500 0.500
0.000 0.000 0.000
```

ρ = 2.4 g/cm3

=====

Which of them is the most stable, and which is the least stable? entry ii and entry i, in that order.

=====

Entry i
A plane-wave DFT calculation with PBE was carried out for a relaxed structure of MgTl3B.

The structure in POSCAR format:
```
MgTl3B
1.0
5.031 0.000 0.000
0.000 5.031 0.000
0.000 0.000 5.031
Mg Tl B
1 3 1
direct
0.000 0.000 0.000
0.000 0.500 0.500
0.500 0.000 0.500
0.500 0.500 0.000
0.500 0.500 0.500
```

ρ = 8.5 g/cm3

=====

Entry ii
A plane-wave DFT calculation with PBE was carried out for a relaxed structure of MgTl3B.

The structure in POSCAR format:
```
MgTl3B
1.0
5.487 0.000 0.000
0.000 5.487 0.000
0.000 0.000 5.487
Mg Tl B
1 3 1
direct
0.000 0.000 0.000
0.000 0.000 0.500
0.000 0.500 0.000
0.500 0.000 0.000
0.500 0.500 0.500
```

ρ = 6.5 g/cm3

=====

Which of them is the most stable, and which is the least stable? entry i and entry ii, in that order.

=====

Entry i
A plane-wave DFT calculation with PBE was carried out for a relaxed structure of Mg3TlB.

The structure in POSCAR format:
```
Mg3TlB
1.0
4.661 0.000 0.000
0.000 4.661 0.000
0.000 0.000 4.661
Mg Tl B
3 1 1
direct
0.000 0.000 0.500
0.000 0.500 0.000
0.500 0.000 0.000
0.500 0.500 0.500
0.000 0.000 0.000
```

ρ = 4.7 g/cm3

=====

Entry ii
A plane-wave DFT calculation with PBE was carried out for a relaxed structure of Mg3TlB.

The structure in POSCAR format:
```
Mg3TlB
1.0
5.273 0.000 0.000
0.000 5.273 0.000
0.000 0.000 5.273
Mg Tl B
3 1 1
direct
0.000 0.000 0.500
0.000 0.500 0.000
0.500 0.000 0.000
0.000 0.000 0.000
0.500 0.500 0.500
```

ρ = 3.3 g/cm3

=====

Which of them is the most stable, and which is the least stable? entry i and entry ii, in that order.

=====

Entry i
A plane-wave DFT calculation with PBE was carried out for a relaxed structure of MgTlB2.

The structure in POSCAR format:
```
MgTlB2
1.0
0.000 3.133 3.133
3.133 0.000 3.133
3.133 3.133 0.000
Mg Tl B
1 1 2
direct
0.000 0.000 0.000
0.500 0.500 0.500
0.250 0.250 0.250
0.750 0.750 0.750
```

ρ = 6.8 g/cm3

=====

Entry ii
A plane-wave DFT calculation with PBE was carried out for a relaxed structure of MgTlB2.

The structure in POSCAR format:
```
MgTlB2
1.0
-3.206 3.206 3.330
3.206 -3.206 3.330
3.206 3.206 -3.330
Mg Tl B
2 2 4
direct
0.000 0.000 0.000
0.750 0.250 0.500
0.250 0.750 0.500
0.500 0.500 0.000
0.128 0.625 0.003
0.375 0.378 0.503
0.622 0.125 0.997
0.875 0.872 0.497
```

ρ = 6.1 g/cm3

=====

Which of them is the most stable, and which is the least stable? entry i and entry ii, in that order.

=====

Entry i
A plane-wave DFT calculation with PBE was carried out for a relaxed structure of MgV3B.

The structure in POSCAR format:
```
MgV3B
1.0
4.117 0.000 0.000
0.000 4.117 0.000
0.000 0.000 4.117
Mg V B
1 3 1
direct
0.000 0.000 0.000
0.000 0.500 0.500
0.500 0.000 0.500
0.500 0.500 0.000
0.500 0.500 0.500
```

ρ = 4.5 g/cm3

=====

Entry ii
A plane-wave DFT calculation with PBE was carried out for a relaxed structure of MgV3B.

The structure in POSCAR format:
```
MgV3B
1.0
4.366 0.000 0.000
0.000 4.366 0.000
0.000 0.000 4.366
Mg V B
1 3 1
direct
0.000 0.000 0.000
0.000 0.000 0.500
0.000 0.500 0.000
0.500 0.000 0.000
0.500 0.500 0.500
```

ρ = 3.8 g/cm3

=====

Which of them is the most stable, and which is the least stable? entry i and entry ii, in that order.

=====

Entry i
A plane-wave DFT calculation with PBE was carried out for a relaxed structure of Mg6VB.

The structure in POSCAR format:
```
Mg6VB
1.0
4.735 0.000 0.000
0.000 2.864 5.472
0.000 -2.864 5.472
Mg V B
6 1 1
direct
0.000 0.000 0.000
0.000 0.008 0.507
0.000 0.487 0.487
0.000 0.507 0.008
0.500 0.351 0.856
0.500 0.856 0.351
0.500 0.850 0.850
0.500 0.321 0.321
```

ρ = 2.3 g/cm3

=====

Entry ii
A plane-wave DFT calculation with PBE was carried out for a relaxed structure of Mg6VB.

The structure in POSCAR format:
```
Mg6VB
1.0
3.329 0.000 0.000
0.000 4.620 5.112
0.000 -4.620 5.112
Mg V B
6 1 1
direct
0.000 0.000 0.000
0.000 0.554 0.887
0.000 0.887 0.554
0.500 0.232 0.711
0.500 0.248 0.248
0.500 0.711 0.232
0.000 0.485 0.485
0.500 0.603 0.603
```

ρ = 2.2 g/cm3

=====

Which of them is the most stable, and which is the least stable? entry ii and entry i, in that order.

=====

Entry i
A plane-wave DFT calculation with PBE was carried out for a relaxed structure of MgV2B.

The structure in POSCAR format:
```
MgV2B
1.0
0.000 2.903 2.903
2.903 0.000 2.903
2.903 2.903 0.000
Mg V B
1 2 1
direct
0.000 0.000 0.000
0.250 0.250 0.250
0.750 0.750 0.750
0.500 0.500 0.500
```

ρ = 4.6 g/cm3

=====

Entry ii
A plane-wave DFT calculation with PBE was carried out for a relaxed structure of MgV2B.

The structure in POSCAR format:
```
MgV2B
1.0
-2.028 2.028 8.042
2.028 -2.028 8.042
2.028 2.028 -8.042
Mg V B
2 4 2
direct
0.375 0.625 0.750
0.625 0.375 0.250
0.000 0.000 0.000
0.000 0.000 0.500
0.000 0.500 0.000
0.500 0.000 0.500
0.125 0.875 0.250
0.875 0.125 0.750
```

ρ = 3.4 g/cm3

=====

Which of them is the most stable, and which is the least stable? entry i and entry ii, in that order.